(1)
Computed, not measured: a relaxed YMgTeN2 crystal at the GGA-PBEsol level of DFT.

Computed properties:
- energy relative to the elements, uncorrected (eV/atom) = 0.4123
- uncorrected energy (eV/cell) = -27.06

```
YMgTeN2
1.0
4.325 0.000 0.000
0.000 4.325 0.000
0.000 0.000 6.165
Mg N Y Te
1 2 1 1
Cartesian
2.162 2.162 3.082 Mg
0.000 2.162 0.000 N
2.162 0.000 0.000 N
0.000 0.000 0.000 Y
0.000 0.000 3.082 Te
```

***

(2)
Computed, not measured: a relaxed MgTiN2 crystal at the GGA-PBEsol level of DFT.

Computed properties:
- energy relative to the elements, uncorrected (eV/atom) = -1.4732
- uncorrected energy (eV/cell) = -32.99

```
MgTiN2
1.0
3.002 0.000 0.000
1.501 2.600 0.000
1.501 0.867 4.973
Ti N Mg
1 2 1
Cartesian
3.002 1.733 2.486 Ti
1.501 0.867 1.347 N
4.503 2.600 3.625 N
0.000 0.000 0.000 Mg
```

***

(3)
Computed, not measured: a relaxed MgTiN2 crystal at the GGA-PBEsol level of DFT.

Computed properties:
- energy relative to the elements, uncorrected (eV/atom) = -1.4097
- uncorrected energy (eV/cell) = -130.93

```
MgTiN2
1.0
-1.806 2.272 -3.090
4.099 -2.107 -3.945
-4.261 -5.451 -1.516
Mg N Ti
4 8 4
Cartesian
-3.653 -1.850 -3.587 Mg
1.684 -3.436 -4.964 Mg
0.745 -0.962 -2.597 Mg
-2.714 -4.325 -5.955 Mg
-2.781 -3.128 -2.128 N
-0.303 0.091 -4.118 N
-0.640 -0.191 -1.220 N
0.812 -2.158 -6.423 N
0.233 -2.749 -3.611 N
-1.329 -5.095 -7.331 N
-2.202 -2.537 -4.940 N
-1.666 -5.377 -4.433 N
-0.576 -1.539 -5.156 Ti
-0.383 -6.131 -5.737 Ti
-1.393 -3.747 -3.395 Ti
-1.586 0.844 -2.814 Ti
```

***

(4)
Computed, not measured: a relaxed Mg2TiN crystal at the GGA-PBEsol level of DFT.

Computed properties:
- energy relative to the elements, uncorrected (eV/atom) = -0.1903
- uncorrected energy (eV/cell) = -42.09

```
Mg2TiN
1.0
-2.219 -3.345 0.144
2.608 -3.986 3.612
-3.975 0.417 4.446
N Ti Mg
2 2 4
Cartesian
-1.109 -1.673 0.072 N
-1.238 -2.621 4.065 N
0.000 0.000 0.000 Ti
-2.348 -4.293 4.137 Ti
-0.361 -2.690 1.966 Mg
0.235 -4.167 4.852 Mg
-3.266 -1.911 3.314 Mg
-3.780 -5.060 6.273 Mg
```

***

Copy entry 1 word for word.
Computed, not measured: a relaxed YMgTeN2 crystal at the GGA-PBEsol level of DFT.

Computed properties:
- energy relative to the elements, uncorrected (eV/atom) = 0.4123
- uncorrected energy (eV/cell) = -27.06

```
YMgTeN2
1.0
4.325 0.000 0.000
0.000 4.325 0.000
0.000 0.000 6.165
Mg N Y Te
1 2 1 1
Cartesian
2.162 2.162 3.082 Mg
0.000 2.162 0.000 N
2.162 0.000 0.000 N
0.000 0.000 0.000 Y
0.000 0.000 3.082 Te
```